Entry from the Alexandria database: a geometry-optimized YCoIr structure (GGA-PBE).

abc: 4.0615 4.0615 4.0113
angles: 90.00 90.00 120.00
With the nearest neighbours (Å) after each atom.
Space group P-6m2 (No. 187)
One atom of each set of equivalent atoms:
Y 0.0000 0.0000 0.0000 [1 per cell]  6 Ir 3.09, 6 Co 3.09
Co 0.6667 0.3333 0.5000 [1 per cell]  3 Ir 2.34
Ir 0.3333 0.6667 0.5000 [1 per cell]  3 Co 2.34

Values from the calculation:
* DOS(E_F): 0.59 states/eV per atom
* uncorrected energy: -7.914 eV/atom
* E_form: -1.3 eV/f.u.